Entry 1:
! InBi2Se4Br (GGA-PBEsol, relaxed); values from VASP
! Uncorrected formation energy, eV per atom: -0.4856
! M_tot, μB/f.u.: 0.00
&SYSTEM
  ibrav = 0, nat = 8, ntyp = 4
/
ATOMIC_SPECIES
Br 79.90 Br.upf
Bi 208.98 Bi.upf
Se 78.96 Se.upf
In 114.82 In.upf
CELL_PARAMETERS angstrom
-3.5888 0.4145 1.8290
-0.8664 -5.3722 3.9999
2.1202 1.6988 8.2576
ATOMIC_POSITIONS crystal
Br 0.5000 0.5000 0.5000
Bi 0.7951 0.6840 0.7259
Bi 0.2049 0.3160 0.2741
Se 0.6262 0.6878 0.0598
Se 0.1602 0.0018 0.6777
Se 0.3738 0.3122 0.9402
Se 0.8398 0.9982 0.3223
In 0.0000 0.0000 0.0000

Entry 2:
! ZrInBiBr2 (GGA-PBEsol, relaxed); values from VASP
! Uncorrected formation energy, eV per atom: 0.4214
! M_tot, μB/f.u.: 1.57
&SYSTEM
  ibrav = 0, nat = 5, ntyp = 4
/
ATOMIC_SPECIES
Br 79.90 Br.upf
Bi 208.98 Bi.upf
In 114.82 In.upf
Zr 91.22 Zr.upf
CELL_PARAMETERS angstrom
5.1927 0.0000 0.0000
0.0000 5.1927 0.0000
0.0000 0.0000 5.8884
ATOMIC_POSITIONS crystal
Br 0.5000 0.0000 0.0000
Br 0.0000 0.5000 0.0000
Bi 0.0000 0.0000 0.5000
In 0.0000 0.0000 0.0000
Zr 0.5000 0.5000 0.5000

Entry 3:
! BiIrBr2 (GGA-PBEsol, relaxed); values from VASP
! Uncorrected formation energy, eV per atom: 0.3749
! M_tot, μB/f.u.: 0.00
&SYSTEM
  ibrav = 0, nat = 8, ntyp = 3
/
ATOMIC_SPECIES
Br 79.90 Br.upf
Ir 192.22 Ir.upf
Bi 208.98 Bi.upf
CELL_PARAMETERS angstrom
-2.5130 2.5338 3.6748
-4.1958 -4.9568 4.1187
4.3368 0.2774 6.3446
ATOMIC_POSITIONS crystal
Br 0.3750 0.7500 0.2500
Br 0.8750 0.7500 0.7500
Br 0.3750 0.2500 0.7500
Br 0.3750 0.2500 0.2500
Ir 0.5000 0.0000 0.0000
Ir 0.2500 0.5000 0.5000
Bi 0.0000 0.0000 0.0000
Bi 0.7500 0.5000 0.5000

Entry 4:
! BiMoIrBr2 (GGA-PBEsol, relaxed); values from VASP
! Uncorrected formation energy, eV per atom: 0.7739
! M_tot, μB/f.u.: 0.00
&SYSTEM
  ibrav = 0, nat = 5, ntyp = 4
/
ATOMIC_SPECIES
Br 79.90 Br.upf
Bi 208.98 Bi.upf
Ir 192.22 Ir.upf
Mo 95.94 Mo.upf
CELL_PARAMETERS angstrom
4.8332 0.0000 0.0000
0.0000 4.8332 0.0000
0.0000 0.0000 4.9604
ATOMIC_POSITIONS crystal
Br 0.0000 0.5000 0.0000
Br 0.5000 0.0000 0.0000
Bi 0.5000 0.5000 0.5000
Ir 0.0000 0.0000 0.5000
Mo 0.0000 0.0000 0.0000

Entry 5:
! Na2BiIrBr (GGA-PBEsol, relaxed); values from VASP
! Uncorrected formation energy, eV per atom: 0.5261
! M_tot, μB/f.u.: 1.25
&SYSTEM
  ibrav = 0, nat = 5, ntyp = 4
/
ATOMIC_SPECIES
Ir 192.22 Ir.upf
Bi 208.98 Bi.upf
Na 22.99 Na.upf
Br 79.90 Br.upf
CELL_PARAMETERS angstrom
-3.6318 -1.8139 -1.9492
3.4196 -3.2261 -3.3696
-0.0391 -4.1976 3.9792
ATOMIC_POSITIONS crystal
Ir 0.0000 0.0000 0.0000
Bi 0.5000 0.5000 0.5000
Na 0.0000 0.5000 0.0000
Na 0.0000 0.0000 0.5000
Br 0.5000 0.0000 0.0000

Entry 6:
! Li3BiBr (GGA-PBEsol, relaxed); values from VASP
! Uncorrected formation energy, eV per atom: -0.6459
! M_tot, μB/f.u.: 0.00
&SYSTEM
  ibrav = 0, nat = 5, ntyp = 3
/
ATOMIC_SPECIES
Br 79.90 Br.upf
Bi 208.98 Bi.upf
Li 6.94 Li.upf
CELL_PARAMETERS angstrom
4.8278 0.0000 0.0000
0.0000 4.8278 0.0000
0.0000 0.0000 4.8278
ATOMIC_POSITIONS crystal
Br 0.0000 0.0000 0.0000
Bi 0.5000 0.5000 0.5000
Li 0.0000 0.0000 0.5000
Li 0.5000 0.0000 0.0000
Li 0.0000 0.5000 0.0000

Copy entry 3 word for word.
! BiIrBr2 (GGA-PBEsol, relaxed); values from VASP
! Uncorrected formation energy, eV per atom: 0.3749
! M_tot, μB/f.u.: 0.00
&SYSTEM
  ibrav = 0, nat = 8, ntyp = 3
/
ATOMIC_SPECIES
Br 79.90 Br.upf
Ir 192.22 Ir.upf
Bi 208.98 Bi.upf
CELL_PARAMETERS angstrom
-2.5130 2.5338 3.6748
-4.1958 -4.9568 4.1187
4.3368 0.2774 6.3446
ATOMIC_POSITIONS crystal
Br 0.3750 0.7500 0.2500
Br 0.8750 0.7500 0.7500
Br 0.3750 0.2500 0.7500
Br 0.3750 0.2500 0.2500
Ir 0.5000 0.0000 0.0000
Ir 0.2500 0.5000 0.5000
Bi 0.0000 0.0000 0.0000
Bi 0.7500 0.5000 0.5000